[1]
# MgRh3

Crystalline MgRh3 at its relaxed geometry (GGA-PBE, Alexandria via LeMat-Bulk).

It has space group Pmmm (No. 47), with a = 2.791 Å, b = 3.843 Å, c = 5.491 Å, α = 90.00°, β = 90.00° and γ = 90.00°. Symmetry generates all atoms from Mg at (0.000, 0.000, 0.000), Rh at (0.000, 0.000, 0.500) and Rh at (0.500, 0.500, 0.256).

For the energy relative to the elements, the calculation gives -0.7 eV/f.u.

[2]
# ZrBe4Br

Crystalline ZrBe4Br at its relaxed geometry (GGA-PBE, Alexandria via LeMat-Bulk).

It has space group F-43m (No. 216), with a = 6.866 Å, b = 6.866 Å, c = 6.866 Å, α = 90.00°, β = 90.00° and γ = 90.00°. Symmetry generates all atoms from Zr at (0.000, 0.000, 0.000), Be at (0.136, 0.136, 0.636) and Br at (0.250, 0.250, 0.250).

[3]
# AgGe2PbSe6

Crystalline AgGe2PbSe6 at its relaxed geometry (GGA-PBE, Alexandria via LeMat-Bulk).

It has space group C2/c (No. 15), with a = 13.363 Å, b = 12.672 Å, c = 6.893 Å, α = 90.00°, β = 105.85° and γ = 90.00°. Symmetry generates all atoms from Ag at (0.000, 0.214, 0.250), Ge at (0.203, 0.073, 0.742), Pb at (0.000, 0.375, 0.750), Se at (0.112, 0.423, 0.186), Se at (0.133, 0.078, 0.032) and Se at (0.144, 0.239, 0.580).

[4]
# HfZrSc2

Crystalline HfZrSc2 at its relaxed geometry (GGA-PBE, Alexandria via LeMat-Bulk).

It has space group P4/mmm (No. 123), with a = 5.328 Å, b = 5.328 Å, c = 3.254 Å, α = 90.00°, β = 90.00° and γ = 90.00°. Symmetry generates all atoms from Hf at (0.000, 0.000, 0.000), Zr at (0.500, 0.500, 0.000) and Sc at (0.000, 0.500, 0.500).

For the energy relative to the elements, the calculation gives 0.7 eV/f.u.

[5]
# KAgSn2

Crystalline KAgSn2 at its relaxed geometry (GGA-PBE, Alexandria via LeMat-Bulk).

It has space group Fm-3m (No. 225), with a = 7.490 Å, b = 7.490 Å, c = 7.490 Å, α = 90.00°, β = 90.00° and γ = 90.00°. Symmetry generates all atoms from K at (0.000, 0.000, 0.000), Ag at (0.000, 0.000, 0.500) and Sn at (0.250, 0.250, 0.250).

For the energy relative to the elements, the calculation gives 0.4 eV/f.u.

These records have calculated total energy values of -24.32 -89.34 -155.00 -30.51 -46.02 eV per cell, in the order they appear.